This record from Alexandria describes an optimized crystal structure of RbMnGaO4. The functional is PBE+U.

Properties
E, eV per atom: -5.89

abc: 5.431 5.558 7.245
angles: 90.00 100.09 90.00
Space group P2_1/m (No. 11)
One atom of each set of equivalent atoms:
Rb 0.174 0.250 0.099 [2 per cell]
Mn 0.146 0.750 0.453 [2 per cell]
Ga 0.388 0.250 0.652 [2 per cell]
O 0.125 0.024 0.658 [4 per cell]
O 0.290 0.750 0.216 [2 per cell]
O 0.481 0.750 0.572 [2 per cell]